[1]
TaHPt3 after structural relaxation, computed with PBE.

Cell and atoms, written as POSCAR:
```
TaHPt3
1.0
4.0684 0.0000 0.0000
0.0000 4.0684 0.0000
0.0000 0.0000 4.0684
Ta H Pt
1 1 3
Cartesian
0.0000 0.0000 0.0000
2.0342 2.0342 2.0342
0.0000 2.0342 2.0342
2.0342 0.0000 2.0342
2.0342 2.0342 0.0000
```

Calculated values
**Energy**: -6.789 eV/atom

[2]
Ta2HPt after structural relaxation, computed with PBE.

Cell and atoms, written as POSCAR:
```
Ta2HPt
1.0
2.9248 0.0000 0.0000
-1.4624 2.5329 0.0000
0.0000 0.0000 21.7164
Ta H Pt
6 3 3
Cartesian
0.0000 0.0000 4.9559
0.0000 0.0000 16.7605
0.0000 1.6886 9.5217
0.0000 1.6886 19.4335
1.4624 0.8443 2.2829
1.4624 0.8443 12.1947
0.0000 0.0000 10.8582
0.0000 1.6886 3.6194
1.4624 0.8443 18.0970
0.0000 0.0000 0.0000
0.0000 1.6886 14.4776
1.4624 0.8443 7.2388
```

Calculated values
**Energy**: -8.527 eV/atom

[3]
TaH2Pt2 after structural relaxation, computed with PBE.

Cell and atoms, written as POSCAR:
```
TaH2Pt2
1.0
6.5548 0.0000 0.0000
0.0000 6.5548 0.0000
0.0000 0.0000 2.7911
Ta H Pt
2 4 4
Cartesian
0.0000 0.0000 0.0000
3.2774 3.2774 0.0000
1.4750 1.8024 0.0000
1.8024 5.0798 0.0000
4.7524 1.4750 0.0000
5.0798 4.7524 0.0000
1.0284 4.3058 1.3955
2.2490 1.0284 1.3955
4.3058 5.5264 1.3955
5.5264 2.2490 1.3955
```

Calculated values
**Energy**: -6.114 eV/atom

[4]
TaHPt3 after structural relaxation, computed with PBE.

Cell and atoms, written as POSCAR:
```
TaHPt3
1.0
4.9093 0.0000 0.0000
0.0000 4.9093 0.0000
0.0000 0.0000 4.9093
Ta H Pt
1 1 3
Cartesian
0.0000 0.0000 0.0000
2.4547 2.4547 2.4547
0.0000 0.0000 2.4547
0.0000 2.4547 0.0000
2.4547 0.0000 0.0000
```

Calculated values
**Energy**: -5.224 eV/atom

[5]
TaHPt after structural relaxation, computed with PBE.

Cell and atoms, written as POSCAR:
```
TaHPt
1.0
2.9483 0.0000 0.0000
0.0000 2.9483 0.0000
0.0000 0.0000 8.3217
Ta H Pt
2 2 2
Cartesian
0.7371 0.7371 1.3127
2.2112 2.2112 7.0090
0.7371 2.2112 0.0000
2.2112 0.7371 0.0000
0.7371 0.7371 5.2167
2.2112 2.2112 3.1049
```

Calculated values
**Energy**: -7.475 eV/atom

[6]
TaHPt after structural relaxation, computed with PBE.

Cell and atoms, written as POSCAR:
```
TaHPt
1.0
11.0234 0.0000 0.0000
0.0000 2.8942 0.0000
-0.4070 0.0000 4.5177
Ta H Pt
4 4 4
Cartesian
1.5632 0.0000 1.2333
3.5415 1.4471 3.2844
7.0749 1.4471 1.2333
9.0532 0.0000 3.2844
2.3356 0.0000 3.0322
2.7691 1.4471 1.4856
7.8473 1.4471 3.0322
8.2808 0.0000 1.4856
0.4706 1.4471 3.4641
4.6341 0.0000 1.0537
5.9824 0.0000 3.4641
10.1458 1.4471 1.0537
```

Calculated values
**Energy**: -7.511 eV/atom

[7]
TaH2Pt2 after structural relaxation, computed with PBE.

Cell and atoms, written as POSCAR:
```
TaH2Pt2
1.0
3.5615 0.0000 0.0000
0.0000 3.5615 0.0000
0.0000 0.0000 8.6663
Ta H Pt
2 4 4
Cartesian
0.0000 0.0000 0.0000
1.7807 1.7807 4.3331
0.0000 1.7807 2.1666
0.0000 1.7807 6.4997
1.7807 0.0000 2.1666
1.7807 0.0000 6.4997
0.0000 0.0000 2.9350
0.0000 0.0000 5.7313
1.7807 1.7807 1.3982
1.7807 1.7807 7.2681
```

Calculated values
**Energy**: -6.182 eV/atom

[8]
TaH2Pt after structural relaxation, computed with PBE.

Cell and atoms, written as POSCAR:
```
TaH2Pt
1.0
5.4514 0.0000 0.0000
0.0000 5.4514 0.0000
0.0000 0.0000 5.4514
Ta H Pt
4 8 4
Cartesian
0.0000 0.0000 0.0000
0.0000 2.7257 2.7257
2.7257 0.0000 2.7257
2.7257 2.7257 0.0000
1.3629 1.3629 1.3629
1.3629 1.3629 4.0886
1.3629 4.0886 1.3629
1.3629 4.0886 4.0886
4.0886 1.3629 1.3629
4.0886 1.3629 4.0886
4.0886 4.0886 1.3629
4.0886 4.0886 4.0886
0.0000 0.0000 2.7257
0.0000 2.7257 0.0000
2.7257 0.0000 0.0000
2.7257 2.7257 2.7257
```

Calculated values
**Energy**: -5.865 eV/atom

[9]
TaH2Pt after structural relaxation, computed with PBE.

Cell and atoms, written as POSCAR:
```
TaH2Pt
1.0
4.2678 0.0000 0.0000
0.0000 4.2678 0.0000
0.0000 0.0000 8.9290
Ta H Pt
4 8 4
Cartesian
0.0000 0.0000 0.0000
0.0000 2.1339 2.2323
2.1339 0.0000 6.6968
2.1339 2.1339 4.4645
1.0596 1.0670 5.5806
1.0670 3.1935 7.8129
1.0670 3.2082 3.3484
1.0743 1.0670 1.1161
3.1935 3.2009 1.1161
3.2009 1.0596 3.3484
3.2009 1.0743 7.8129
3.2082 3.2009 5.5806
0.0000 0.0000 4.4645
0.0000 2.1339 6.6968
2.1339 0.0000 2.2323
2.1339 2.1339 0.0000
```

Calculated values
**Energy**: -6.154 eV/atom

[10]
TaHPt after structural relaxation, computed with PBE.

Cell and atoms, written as POSCAR:
```
TaHPt
1.0
4.7426 0.0000 0.0000
0.0000 2.8765 0.0000
-2.0862 0.0000 5.5580
Ta H Pt
2 2 2
Cartesian
0.6542 0.7191 1.2718
2.0021 2.1574 4.2863
-1.2758 2.1574 5.5336
3.9321 0.7191 0.0245
-0.2545 0.7191 3.7489
2.9108 2.1574 1.8091
```

Calculated values
**Energy**: -7.372 eV/atom

[11]
Ta2HPt after structural relaxation, computed with PBE.

Cell and atoms, written as POSCAR:
```
Ta2HPt
1.0
6.2278 0.0000 0.0000
0.0000 6.2278 0.0000
0.0000 0.0000 6.2278
Ta H Pt
8 4 4
Cartesian
1.5569 1.5569 1.5569
1.5569 1.5569 4.6708
1.5569 4.6708 1.5569
1.5569 4.6708 4.6708
4.6708 1.5569 1.5569
4.6708 1.5569 4.6708
4.6708 4.6708 1.5569
4.6708 4.6708 4.6708
0.0000 0.0000 0.0000
0.0000 3.1139 3.1139
3.1139 0.0000 3.1139
3.1139 3.1139 0.0000
0.0000 0.0000 3.1139
0.0000 3.1139 0.0000
3.1139 0.0000 0.0000
3.1139 3.1139 3.1139
```

Calculated values
**Energy**: -8.064 eV/atom

[12]
Ta2HPt after structural relaxation, computed with PBE.

Cell and atoms, written as POSCAR:
```
Ta2HPt
1.0
4.8786 0.0000 0.0000
0.0000 4.8786 0.0000
0.0000 0.0000 10.7711
Ta H Pt
8 4 4
Cartesian
0.5492 1.2196 1.3464
1.2196 2.9885 4.0392
1.2196 4.3294 9.4247
1.8901 1.2196 6.7320
2.9885 3.6589 6.7320
3.6589 0.5492 9.4247
3.6589 1.8901 4.0392
4.3294 3.6589 1.3464
0.0000 0.0000 0.0000
0.0000 2.4393 2.6928
2.4393 0.0000 8.0783
2.4393 2.4393 5.3856
0.0000 0.0000 5.3856
0.0000 2.4393 8.0783
2.4393 0.0000 2.6928
2.4393 2.4393 0.0000
```

Calculated values
**Energy**: -7.999 eV/atom

[13]
TaH2Pt after structural relaxation, computed with PBE.

Cell and atoms, written as POSCAR:
```
TaH2Pt
1.0
4.2481 0.0000 0.0000
0.0000 3.8605 0.0000
0.0000 0.0000 9.9168
Ta H Pt
4 8 4
Cartesian
0.5572 0.9651 1.2868
1.5668 2.8954 6.2452
2.6813 0.9651 3.6716
3.6909 2.8954 8.6300
0.9730 2.0406 9.5871
0.9730 3.7502 9.5871
1.1510 0.1103 4.6287
1.1510 1.8199 4.6287
3.0971 2.0406 5.2881
3.0971 3.7502 5.2881
3.2751 0.1103 0.3297
3.2751 1.8199 0.3297
0.5106 2.8954 3.3062
1.6134 0.9651 8.2647
2.6347 2.8954 1.6522
3.7375 0.9651 6.6106
```

Calculated values
**Energy**: -6.233 eV/atom

[14]
TaHPt after structural relaxation, computed with PBE.

Cell and atoms, written as POSCAR:
```
TaHPt
1.0
3.0871 0.0000 0.0000
-1.5435 2.6735 0.0000
0.0000 0.0000 4.4312
Ta H Pt
1 1 1
Cartesian
0.0000 0.0000 0.0000
1.5435 0.8912 3.8420
0.0000 1.7823 2.1182
```

Calculated values
**Energy**: -7.412 eV/atom

[15]
Ta2HPt after structural relaxation, computed with PBE.

Cell and atoms, written as POSCAR:
```
Ta2HPt
1.0
2.9330 0.0000 0.0000
-1.4665 2.5401 0.0000
0.0000 0.0000 21.5882
Ta H Pt
6 3 3
Cartesian
0.0000 0.0000 0.0000
0.0000 0.0000 4.5324
0.0000 1.6934 14.3922
0.0000 1.6934 18.9246
1.4665 0.8467 7.1961
1.4665 0.8467 11.7285
0.0000 0.0000 13.0748
0.0000 1.6934 5.8787
1.4665 0.8467 20.2709
0.0000 0.0000 9.4491
0.0000 1.6934 2.2530
1.4665 0.8467 16.6451
```

Calculated values
**Energy**: -8.533 eV/atom

[16]
Ta2TcHPt after structural relaxation, computed with PBE.

Cell and atoms, written as POSCAR:
```
Ta2TcHPt
1.0
4.1843 0.0000 0.0000
0.0000 4.1843 0.0000
0.0000 0.0000 3.8739
Ta Tc H Pt
2 1 1 1
Cartesian
0.0000 2.0921 0.0000
2.0921 0.0000 0.0000
0.0000 0.0000 1.9369
2.0921 2.0921 0.0000
2.0921 2.0921 1.9369
```

Calculated values
**Energy**: -8.948 eV/atom

[17]
TaTcHPt2 after structural relaxation, computed with PBE.

Cell and atoms, written as POSCAR:
```
TaTcHPt2
1.0
3.9507 0.0000 0.0000
0.0000 3.9507 0.0000
0.0000 0.0000 4.1614
Ta Tc H Pt
1 1 1 2
Cartesian
0.0000 0.0000 0.0000
1.9753 1.9753 0.0000
1.9753 1.9753 2.0807
0.0000 1.9753 2.0807
1.9753 0.0000 2.0807
```

Calculated values
**Energy**: -7.839 eV/atom

[18]
Ta2TcHPt after structural relaxation, computed with PBE.

Cell and atoms, written as POSCAR:
```
Ta2TcHPt
1.0
4.1802 0.0000 0.0000
0.0000 4.1802 0.0000
0.0000 0.0000 3.8661
Ta Tc H Pt
2 1 1 1
Cartesian
0.0000 2.0901 0.0000
2.0901 0.0000 0.0000
0.0000 0.0000 1.9331
0.0000 0.0000 0.0000
2.0901 2.0901 1.9331
```

Calculated values
**Energy**: -9.028 eV/atom

[19]
TaTc2HPt after structural relaxation, computed with PBE.

Cell and atoms, written as POSCAR:
```
TaTc2HPt
1.0
4.0063 0.0000 0.0000
0.0000 4.0063 0.0000
0.0000 0.0000 3.9826
Ta Tc H Pt
1 2 1 1
Cartesian
0.0000 0.0000 0.0000
0.0000 2.0031 1.9913
2.0031 0.0000 1.9913
2.0031 2.0031 1.9913
2.0031 2.0031 0.0000
```

Calculated values
**Energy**: -8.645 eV/atom

[20]
TaTc2HPt after structural relaxation, computed with PBE.

Cell and atoms, written as POSCAR:
```
TaTc2HPt
1.0
3.9571 0.0000 0.0000
0.0000 3.9571 0.0000
0.0000 0.0000 4.0741
Ta Tc H Pt
1 2 1 1
Cartesian
0.0000 0.0000 0.0000
0.0000 1.9786 2.0370
1.9786 0.0000 2.0370
0.0000 0.0000 2.0370
1.9786 1.9786 0.0000
```

Calculated values
**Energy**: -8.687 eV/atom

[21]
TaTi2HPt after structural relaxation, computed with PBE.

Cell and atoms, written as POSCAR:
```
TaTi2HPt
1.0
4.3180 0.0000 0.0000
0.0000 4.3180 0.0000
0.0000 0.0000 3.6512
Ta Ti H Pt
1 2 1 1
Cartesian
0.0000 0.0000 0.0000
0.0000 2.1590 1.8256
2.1590 0.0000 1.8256
2.1590 2.1590 1.8256
2.1590 2.1590 0.0000
```

Calculated values
**Energy**: -7.772 eV/atom

[22]
Ta2TiHPt after structural relaxation, computed with PBE.

Cell and atoms, written as POSCAR:
```
Ta2TiHPt
1.0
4.0952 0.0000 0.0000
0.0000 4.0952 0.0000
0.0000 0.0000 4.1619
Ta Ti H Pt
2 1 1 1
Cartesian
0.0000 2.0476 0.0000
2.0476 0.0000 0.0000
0.0000 0.0000 2.0810
0.0000 0.0000 0.0000
2.0476 2.0476 2.0810
```

Calculated values
**Energy**: -8.547 eV/atom

[23]
TaTi2HPt after structural relaxation, computed with PBE.

Cell and atoms, written as POSCAR:
```
TaTi2HPt
1.0
4.0875 0.0000 0.0000
0.0000 4.0875 0.0000
0.0000 0.0000 4.0579
Ta Ti H Pt
1 2 1 1
Cartesian
0.0000 0.0000 0.0000
0.0000 2.0438 2.0290
2.0438 0.0000 2.0290
0.0000 0.0000 2.0290
2.0438 2.0438 0.0000
```

Calculated values
**Energy**: -7.851 eV/atom

[24]
Ta2TlHPt after structural relaxation, computed with PBE.

Cell and atoms, written as POSCAR:
```
Ta2TlHPt
1.0
5.1808 0.0000 0.0000
0.0000 5.1808 0.0000
0.0000 0.0000 4.9527
Ta Tl H Pt
2 1 1 1
Cartesian
0.0000 2.5904 0.0000
2.5904 0.0000 0.0000
0.0000 0.0000 0.0000
2.5904 2.5904 2.4764
0.0000 0.0000 2.4764
```

Calculated values
**Energy**: -4.361 eV/atom

[25]
TaV2HPt after structural relaxation, computed with PBE.

Cell and atoms, written as POSCAR:
```
TaV2HPt
1.0
3.8551 0.0000 0.0000
0.0000 3.8551 0.0000
0.0000 0.0000 4.1298
Ta V H Pt
1 2 1 1
Cartesian
0.0000 0.0000 0.0000
0.0000 1.9276 2.0649
1.9276 0.0000 2.0649
0.0000 0.0000 2.0649
1.9276 1.9276 0.0000
```

Calculated values
**Energy**: -8.169 eV/atom

[26]
TaV2HPt after structural relaxation, computed with PBE.

Cell and atoms, written as POSCAR:
```
TaV2HPt
1.0
3.9235 0.0000 0.0000
0.0000 3.9235 0.0000
0.0000 0.0000 4.0689
Ta V H Pt
1 2 1 1
Cartesian
0.0000 0.0000 0.0000
0.0000 1.9618 2.0345
1.9618 0.0000 2.0345
1.9618 1.9618 2.0345
1.9618 1.9618 0.0000
```

Calculated values
**Energy**: -8.073 eV/atom

[27]
Ta2ZnHPt after structural relaxation, computed with PBE.

Cell and atoms, written as POSCAR:
```
Ta2ZnHPt
1.0
4.1200 0.0000 0.0000
0.0000 4.1200 0.0000
0.0000 0.0000 4.0186
Ta Zn H Pt
2 1 1 1
Cartesian
0.0000 2.0600 0.0000
2.0600 0.0000 0.0000
0.0000 0.0000 2.0093
2.0600 2.0600 0.0000
2.0600 2.0600 2.0093
```

Calculated values
**Energy**: -7.054 eV/atom

[28]
Ta2ZnHPt after structural relaxation, computed with PBE.

Cell and atoms, written as POSCAR:
```
Ta2ZnHPt
1.0
5.1226 0.0000 0.0000
0.0000 5.1226 0.0000
0.0000 0.0000 3.1736
Ta Zn H Pt
2 1 1 1
Cartesian
0.0000 2.5613 0.0000
2.5613 0.0000 0.0000
0.0000 0.0000 1.5868
2.5613 2.5613 1.5868
2.5613 2.5613 0.0000
```

Calculated values
**Energy**: -6.228 eV/atom